[1]
DFT (GGA-PBE) results for a relaxed structure of Ta3AlGa.

Structure (POSCAR):
```
Ta3AlGa
1.0
7.0547 -2.5463 0.0000
7.0547 2.5463 0.0000
-1.8837 0.0000 9.6474
Ta Al Ga
12 4 4
Direct
0.0707 0.1264 0.7674 Ta
0.1264 0.0707 0.2674 Ta
0.1946 0.6960 0.9870 Ta
0.2572 0.3428 0.7368 Ta
0.3040 0.8054 0.5130 Ta
0.3428 0.2572 0.2368 Ta
0.6572 0.7428 0.7632 Ta
0.6960 0.1946 0.4870 Ta
0.7428 0.6572 0.2632 Ta
0.8054 0.3040 0.0130 Ta
0.8736 0.9293 0.7326 Ta
0.9293 0.8736 0.2326 Ta
0.0973 0.5974 0.4822 Al
0.4026 0.9027 0.0178 Al
0.5974 0.0973 0.9822 Al
0.9027 0.4026 0.5178 Al
0.0000 0.5000 0.0000 Ga
0.4766 0.5234 0.7500 Ga
0.5000 0.0000 0.5000 Ga
0.5234 0.4766 0.2500 Ga
```

Properties
For the formation energy, the calculation gives -90 meV per atom. As for the symmetry: C2/c. As for the magnetization: 0.000 μB/atom. The density of states at the Fermi level is 0.690 states/eV/atom. For the total DFT energy (no corrections), the calculation gives -171.11 eV for the cell shown.

---

[2]
DFT (GGA-PBE) results for a relaxed structure of TaAl3Ga.

Structure (POSCAR):
```
TaAl3Ga
1.0
5.1060 0.0000 0.0000
0.0000 5.1060 0.0000
0.0000 0.0000 5.1060
Ta Al Ga
1 3 1
Direct
0.0000 0.0000 0.0000 Ta
0.0000 0.0000 0.5000 Al
0.0000 0.5000 0.0000 Al
0.5000 0.0000 0.0000 Al
0.5000 0.5000 0.5000 Ga
```

Properties
For the formation energy, the calculation gives 837 meV per atom. As for the symmetry: Pm-3m. As for the magnetization: 0.000 μB/atom. The density of states at the Fermi level is 0.711 states/eV/atom. For the total DFT energy (no corrections), the calculation gives -21.92 eV for the cell shown.

---

[3]
DFT (GGA-PBE) results for a relaxed structure of TaAlGa.

Structure (POSCAR):
```
TaAlGa
1.0
4.4991 0.0000 0.0000
-2.2496 3.8964 0.0000
0.0000 0.0000 2.7814
Ta Al Ga
1 1 1
Direct
0.0000 0.0000 0.0000 Ta
0.3333 0.6667 0.5000 Al
0.6667 0.3333 0.5000 Ga
```

Properties
For the formation energy, the calculation gives -68 meV per atom. As for the symmetry: P-6m2. As for the magnetization: 0.000 μB/atom. The density of states at the Fermi level is 0.518 states/eV/atom. For the total DFT energy (no corrections), the calculation gives -18.82 eV for the cell shown.

---

[4]
DFT (GGA-PBE) results for a relaxed structure of Ta2AlGa3.

Structure (POSCAR):
```
Ta2AlGa3
1.0
6.1997 -1.8995 0.0000
6.1997 1.8995 0.0000
-6.0062 0.0000 8.8938
Ta Al Ga
4 2 6
Direct
0.0080 0.0080 0.3688 Ta
0.3122 0.3122 0.6281 Ta
0.6878 0.6878 0.3719 Ta
0.9920 0.9920 0.6312 Ta
0.3625 0.3625 0.3992 Al
0.6375 0.6375 0.6008 Al
0.0684 0.0684 0.1423 Ga
0.2596 0.2596 0.8583 Ga
0.4055 0.4055 0.1411 Ga
0.5945 0.5945 0.8589 Ga
0.7404 0.7404 0.1417 Ga
0.9316 0.9316 0.8577 Ga
```

Properties
For the formation energy, the calculation gives -155 meV per atom. As for the symmetry: C2/m. As for the magnetization: 0.000 μB/atom. The density of states at the Fermi level is 0.320 states/eV/atom. For the total DFT energy (no corrections), the calculation gives -74.92 eV for the cell shown.

---

[5]
DFT (GGA-PBE) results for a relaxed structure of Ta5AlGa.

Structure (POSCAR):
```
Ta5AlGa
1.0
4.0107 -5.3751 0.0000
4.0107 5.3751 0.0000
-1.9674 0.0000 6.0755
Ta Al Ga
10 2 2
Direct
0.1216 0.3760 0.9152 Ta
0.1891 0.5256 0.3697 Ta
0.2003 0.7997 0.7500 Ta
0.3760 0.1216 0.4152 Ta
0.4744 0.8109 0.1303 Ta
0.5256 0.1891 0.8697 Ta
0.6240 0.8784 0.5848 Ta
0.7997 0.2003 0.2500 Ta
0.8109 0.4744 0.6303 Ta
0.8784 0.6240 0.0848 Ta
0.4662 0.5338 0.7500 Al
0.5338 0.4662 0.2500 Al
0.0000 0.0000 0.0000 Ga
0.0000 0.0000 0.5000 Ga
```

Properties
For the formation energy, the calculation gives 271 meV per atom. As for the symmetry: C2/c. As for the magnetization: 0.000 μB/atom. The density of states at the Fermi level is 0.652 states/eV/atom. For the total DFT energy (no corrections), the calculation gives -128.27 eV for the cell shown.

---

[6]
DFT (GGA-PBE) results for a relaxed structure of Ta6AlGa5.

Structure (POSCAR):
```
Ta6AlGa5
1.0
3.2301 -5.4983 0.0000
3.2301 5.4983 0.0000
-2.0848 0.0000 6.1104
Ta Al Ga
6 1 5
Direct
0.0805 0.4156 0.7483 Ta
0.2472 0.2472 0.2496 Ta
0.4156 0.0805 0.7483 Ta
0.5844 0.9195 0.2517 Ta
0.7528 0.7528 0.7504 Ta
0.9195 0.5844 0.2517 Ta
0.5000 0.5000 0.0000 Al
0.0000 0.0000 0.5000 Ga
0.1674 0.8326 0.0000 Ga
0.3345 0.6655 0.5000 Ga
0.6655 0.3345 0.5000 Ga
0.8326 0.1674 0.0000 Ga
```

Properties
For the formation energy, the calculation gives 277 meV per atom. As for the symmetry: C2/m. As for the magnetization: 0.000 μB/atom. The density of states at the Fermi level is 0.394 states/eV/atom. For the total DFT energy (no corrections), the calculation gives -86.67 eV for the cell shown.

---

[7]
DFT (GGA-PBE) results for a relaxed structure of Ta6AlGa.

Structure (POSCAR):
```
Ta6AlGa
1.0
5.1971 0.0000 0.0000
-0.0928 5.2001 0.0000
-0.0776 -0.0978 5.2025
Ta Al Ga
6 1 1
Direct
0.0042 0.2487 0.0123 Ta
0.2493 0.5163 0.5052 Ta
0.4849 0.9987 0.2510 Ta
0.5151 0.0013 0.7490 Ta
0.7507 0.4837 0.4948 Ta
0.9958 0.7513 0.9877 Ta
0.0000 0.0000 0.5000 Al
0.5000 0.5000 0.0000 Ga
```

Properties
For the formation energy, the calculation gives -108 meV per atom. As for the symmetry: P-1. As for the magnetization: 0.000 μB/atom. The density of states at the Fermi level is 1.082 states/eV/atom. For the total DFT energy (no corrections), the calculation gives -78.75 eV for the cell shown.

---

[8]
DFT (GGA-PBE) results for a relaxed structure of TaAlGa3.

Structure (POSCAR):
```
TaAlGa3
1.0
4.8165 -5.5968 0.0000
4.8165 5.5968 0.0000
0.0000 0.0000 6.4275
Ta Al Ga
4 4 12
Direct
0.2146 0.7854 0.8917 Ta
0.2854 0.7146 0.3917 Ta
0.7146 0.2854 0.6083 Ta
0.7854 0.2146 0.1083 Ta
0.0565 0.4435 0.7500 Al
0.4435 0.0565 0.2500 Al
0.5565 0.9435 0.7500 Al
0.9435 0.5565 0.2500 Al
0.0458 0.9542 0.1908 Ga
0.0559 0.2632 0.4117 Ga
0.2368 0.4441 0.0883 Ga
0.2632 0.0559 0.5883 Ga
0.4441 0.2368 0.9117 Ga
0.4542 0.5458 0.6908 Ga
0.5458 0.4542 0.3092 Ga
0.5559 0.7632 0.0883 Ga
0.7368 0.9441 0.4117 Ga
0.7632 0.5559 0.9117 Ga
0.9441 0.7368 0.5883 Ga
0.9542 0.0458 0.8092 Ga
```

Properties
For the formation energy, the calculation gives 23 meV per atom. As for the symmetry: Cmce. As for the magnetization: 0.000 μB/atom. The density of states at the Fermi level is 0.483 states/eV/atom. For the total DFT energy (no corrections), the calculation gives -98.24 eV for the cell shown.

---

[9]
DFT (GGA-PBE) results for a relaxed structure of Ta8AlGa2.

Structure (POSCAR):
```
Ta8AlGa2
1.0
3.7152 -5.9718 0.0000
3.7152 5.9718 0.0000
-2.1435 0.0000 4.4978
Ta Al Ga
8 1 2
Direct
0.0906 0.3199 0.6141 Ta
0.2272 0.7728 0.0000 Ta
0.3199 0.0906 0.6141 Ta
0.3914 0.3914 0.1823 Ta
0.6086 0.6086 0.8177 Ta
0.6801 0.9094 0.3859 Ta
0.7728 0.2272 0.0000 Ta
0.9094 0.6801 0.3859 Ta
0.0000 0.0000 0.0000 Al
0.3073 0.6927 0.5000 Ga
0.6927 0.3073 0.5000 Ga
```

Properties
For the formation energy, the calculation gives 125 meV per atom. As for the symmetry: C2/m. As for the magnetization: 0.000 μB/atom. The density of states at the Fermi level is 0.706 states/eV/atom. For the total DFT energy (no corrections), the calculation gives -103.24 eV for the cell shown.

---

[10]
DFT (GGA-PBE) results for a relaxed structure of TaAl3Ga.

Structure (POSCAR):
```
TaAl3Ga
1.0
4.7108 0.0000 0.0000
0.0000 7.1403 0.0000
-0.4303 0.0000 5.3684
Ta Al Ga
2 6 2
Direct
0.1378 0.2500 0.4791 Ta
0.8622 0.7500 0.5209 Ta
0.1740 0.2500 0.9897 Al
0.3617 0.5654 0.7209 Al
0.3617 0.9346 0.7209 Al
0.6383 0.0654 0.2791 Al
0.6383 0.4346 0.2791 Al
0.8260 0.7500 0.0103 Al
0.3246 0.7500 0.2686 Ga
0.6754 0.2500 0.7314 Ga
```

Properties
For the formation energy, the calculation gives 100 meV per atom. As for the symmetry: P2_1/m. As for the magnetization: 0.000 μB/atom. The density of states at the Fermi level is 0.664 states/eV/atom. For the total DFT energy (no corrections), the calculation gives -51.22 eV for the cell shown.

---

[11]
DFT (GGA-PBE) results for a relaxed structure of Ta2Al3Ga3.

Structure (POSCAR):
```
Ta2Al3Ga3
1.0
3.8508 0.0000 0.0000
0.0000 4.3179 0.0000
0.0000 0.0000 7.7711
Ta Al Ga
2 3 3
Direct
0.0000 0.0000 0.2465 Ta
0.0000 0.0000 0.7535 Ta
0.0000 0.5000 0.0000 Al
0.0000 0.5000 0.5000 Al
0.5000 0.0000 0.5000 Al
0.5000 0.0000 0.0000 Ga
0.5000 0.5000 0.2565 Ga
0.5000 0.5000 0.7435 Ga
```

Properties
For the formation energy, the calculation gives -68 meV per atom. As for the symmetry: Pmmm. As for the magnetization: 0.000 μB/atom. The density of states at the Fermi level is 0.429 states/eV/atom. For the total DFT energy (no corrections), the calculation gives -44.56 eV for the cell shown.

---

[12]
DFT (GGA-PBE) results for a relaxed structure of Ta2Al3Ga2.

Structure (POSCAR):
```
Ta2Al3Ga2
1.0
4.8995 -1.8746 0.0000
4.8995 1.8746 0.0000
-1.4731 0.0000 6.3606
Ta Al Ga
2 3 2
Direct
0.1369 0.1369 0.4322 Ta
0.8631 0.8631 0.5678 Ta
0.0000 0.0000 0.0000 Al
0.2981 0.2981 0.8534 Al
0.7019 0.7019 0.1466 Al
0.4157 0.4157 0.2733 Ga
0.5843 0.5843 0.7267 Ga
```

Properties
For the formation energy, the calculation gives -104 meV per atom. As for the symmetry: C2/m. As for the magnetization: 0.000 μB/atom. The density of states at the Fermi level is 0.366 states/eV/atom. For the total DFT energy (no corrections), the calculation gives -41.72 eV for the cell shown.